Record 1
This record from Alexandria via LeMat-Bulk describes a relaxed structure of Y2RhCl. The functional is PBE.

Values from the calculation:
- E above lowest polymorph: 414.6 meV/atom
- Raw formation energy: -72 kJ/mol of atoms
- Space-group type: Fm-3m, No. 225

Unit cell a=4.990 b=4.990 c=4.990 alpha=60.00 beta=60.00 gamma=60.00
Fractional coordinates of all 4 atoms:
Y: 0.250 0.250 0.250
Y: 0.750 0.750 0.750
Rh: 0.000 0.000 0.000
Cl: 0.500 0.500 0.500

=====

Record 2
This record from Alexandria via LeMat-Bulk describes a relaxed structure of Li2PmGa4Rh. The functional is PBE.

Values from the calculation:
- DFT total energy: -4.003 eV per atom
- Space-group type: R-3m, No. 166

Unit cell a=9.303 b=9.303 c=9.303 alpha=26.41 beta=26.41 gamma=26.41
Fractional coordinates of all 8 atoms:
Li: 0.229 0.229 0.229
Li: 0.771 0.771 0.771
Pm: 0.000 0.000 0.000
Ga: 0.128 0.128 0.128
Ga: 0.404 0.404 0.404
Ga: 0.596 0.596 0.596
Ga: 0.872 0.872 0.872
Rh: 0.500 0.500 0.500

=====

Record 3
This record from Alexandria via LeMat-Bulk describes a relaxed structure of Cs3YHo2Te6. The functional is PBE.

Values from the calculation:
- Raw formation energy: -134 kJ/mol of atoms
- Space-group type: C2/m, No. 12

Unit cell a=7.871 b=7.871 c=9.293 alpha=98.12 beta=98.12 gamma=120.00
Fractional coordinates of all 12 atoms:
Cs: 0.000 0.000 0.000
Cs: 0.334 0.666 0.000
Cs: 0.666 0.334 0.000
Y: 0.500 0.500 0.500
Ho: 0.167 0.833 0.500
Ho: 0.833 0.167 0.500
Te: 0.102 0.437 0.311
Te: 0.228 0.228 0.689
Te: 0.437 0.102 0.311
Te: 0.563 0.898 0.689
Te: 0.772 0.772 0.311
Te: 0.898 0.563 0.689

=====

Record 4
This record from Alexandria via LeMat-Bulk describes a relaxed structure of Cd2AgSbPt. The functional is PBE.

Values from the calculation:
- Raw formation energy: 33 kJ/mol of atoms
- Space-group type: P4/mmm, No. 123

Unit cell a=5.125 b=5.125 c=5.174 alpha=90.00 beta=90.00 gamma=90.00
Fractional coordinates of all 5 atoms:
Cd: 0.000 0.500 0.000
Cd: 0.500 0.000 0.000
Ag: 0.000 0.000 0.500
Sb: 0.500 0.500 0.500
Pt: 0.000 0.000 0.000

=====

Record 5
This record from Alexandria via LeMat-Bulk describes a relaxed structure of Tb4Dy. The functional is PBE.

Values from the calculation:
- E above lowest polymorph: 683.2 meV/atom
- Space-group type: Pm-3m, No. 221

Unit cell a=5.643 b=5.643 c=5.643 alpha=90.00 beta=90.00 gamma=90.00
Fractional coordinates of all 5 atoms:
Tb: 0.000 0.000 0.000
Tb: 0.000 0.500 0.500
Tb: 0.500 0.000 0.500
Tb: 0.500 0.500 0.000
Dy: 0.500 0.500 0.500

=====

Record 6
This record from Alexandria via LeMat-Bulk describes a relaxed structure of Tc2SbAu. The functional is PBE.

Values from the calculation:
- Raw formation energy: 28 kJ/mol of atoms
- Space-group type: Pmm2, No. 25

Unit cell a=3.041 b=3.788 c=6.114 alpha=90.00 beta=90.00 gamma=90.00
Fractional coordinates of all 4 atoms:
Tc: 0.000 0.000 0.000
Tc: 0.500 0.500 0.191
Sb: 0.500 0.500 0.741
Au: 0.000 0.000 0.448

=====

Mass density list, top to bottom, in Mg/m³: 6.0 6.4 5.5 7.9 7.4 12.1